Record 1
# LiCu4Au (PBE-GGA, relaxed)
# Volume ... 329 Å³/cell
# Crystal system ... cubic
# Size of the total moment ... 0.0000 μB per atom
# Energy relative to the elements ... -0.1022 eV per atom
data_LiCu4Au
_space_group_name_H-M_alt 'F -4 3 m'
_space_group_IT_number 216
_space_group_name_Hall 'F -4 2 3'
_cell_length_a 6.905
_cell_length_b 6.905
_cell_length_c 6.905
_cell_angle_alpha 90.00
_cell_angle_beta 90.00
_cell_angle_gamma 90.00
loop_
_atom_site_label
_atom_site_fract_x
_atom_site_fract_y
_atom_site_fract_z
Li1 0.000 0.000 0.000
Cu1 0.125 0.125 0.625
Au1 0.250 0.250 0.250

***

Record 2
# OsPtRh6 (PBE-GGA, relaxed)
# Volume ... 115 Å³/cell
# Crystal system ... tetragonal
# Size of the total moment ... 0.0000 μB per atom
# Energy relative to the elements ... -0.0110 eV per atom
data_OsPtRh6
_space_group_name_H-M_alt 'P 4/m m m'
_space_group_IT_number 123
_space_group_name_Hall '-P 4 2'
_cell_length_a 3.853
_cell_length_b 3.853
_cell_length_c 7.731
_cell_angle_alpha 90.00
_cell_angle_beta 90.00
_cell_angle_gamma 90.00
loop_
_atom_site_label
_atom_site_fract_x
_atom_site_fract_y
_atom_site_fract_z
Os1 0.000 0.000 0.000
Pt1 0.000 0.000 0.500
Rh1 0.000 0.500 0.243
Rh2 0.500 0.500 0.000
Rh3 0.500 0.500 0.500

***

Record 3
# K3TeH (PBE-GGA, relaxed)
# Volume ... 370 Å³/cell
# Crystal system ... monoclinic
# Size of the total moment ... 0.0000 μB per atom
# Calculated total energy ... -2.618 eV per atom
data_K3TeH
_space_group_name_H-M_alt 'P 1 21 1'
_space_group_IT_number 4
_cell_length_a 5.868
_cell_length_b 7.195
_cell_length_c 9.240
_cell_angle_alpha 90.00
_cell_angle_beta 108.32
_cell_angle_gamma 90.00
loop_
_space_group_symop_operation_xyz
'x,y,z'
'-x,y+1/2,-z'
loop_
_atom_site_label
_atom_site_fract_x
_atom_site_fract_y
_atom_site_fract_z
K1 0.059 0.000 0.118
K2 0.198 0.578 0.400
K3 0.426 0.844 0.850
Te1 0.370 0.322 0.738
H1 0.079 0.356 0.161

***

Record 4
# ZrNbPd (PBE-GGA, relaxed)
# Volume ... 114 Å³/cell
# Crystal system ... monoclinic
# Size of the total moment ... 0.0000 μB per atom
# Energy relative to the elements ... -0.3612 eV per atom
data_ZrNbPd
_space_group_name_H-M_alt 'P 1 21/m 1'
_space_group_IT_number 11
_cell_length_a 3.239
_cell_length_b 4.518
_cell_length_c 7.812
_cell_angle_alpha 90.00
_cell_angle_beta 90.18
_cell_angle_gamma 90.00
loop_
_space_group_symop_operation_xyz
'x,y,z'
'-x,-y,-z'
'-x,y+1/2,-z'
'x,-y+1/2,z'
loop_
_atom_site_label
_atom_site_fract_x
_atom_site_fract_y
_atom_site_fract_z
Zr1 0.248 0.250 0.151
Nb1 0.250 0.750 0.503
Pd1 0.252 0.250 0.785

***

Record 5
# Mn2Co6Mo (PBE-GGA, relaxed)
# Volume ... 227 Å³/cell
# Crystal system ... monoclinic
# Size of the total moment ... 1.5106 μB per atom
# Energy relative to the elements ... 0.2885 eV per atom
data_Mn2Co6Mo
_space_group_name_H-M_alt 'C 1 2/m 1'
_space_group_IT_number 12
_cell_length_a 8.104
_cell_length_b 4.893
_cell_length_c 6.558
_cell_angle_alpha 90.00
_cell_angle_beta 119.17
_cell_angle_gamma 90.00
loop_
_space_group_symop_operation_xyz
'x,y,z'
'-x,-y,-z'
'-x,y,-z'
'x,-y,z'
'x+1/2,y+1/2,z'
'-x+1/2,-y+1/2,-z'
'-x+1/2,y+1/2,-z'
'x+1/2,-y+1/2,z'
loop_
_atom_site_label
_atom_site_fract_x
_atom_site_fract_y
_atom_site_fract_z
Mn1 0.213 0.000 0.122
Co1 0.079 0.260 0.367
Co2 0.185 0.000 0.714
Mo1 0.000 0.500 0.000

***

Record 6
# ZnCuTe2 (PBE-GGA, relaxed)
# Volume ... 360 Å³/cell
# Crystal system ... tetragonal
# Size of the total moment ... 0.0000 μB per atom
# Calculated total energy ... -2.740 eV per atom
data_ZnCuTe2
_space_group_name_H-M_alt 'I 4/m c m'
_space_group_IT_number 140
_space_group_name_Hall '-I 4 2c'
_cell_length_a 7.095
_cell_length_b 7.095
_cell_length_c 7.149
_cell_angle_alpha 90.00
_cell_angle_beta 90.00
_cell_angle_gamma 90.00
loop_
_atom_site_label
_atom_site_fract_x
_atom_site_fract_y
_atom_site_fract_z
Zn1 0.000 0.500 0.250
Cu1 0.000 0.000 0.250
Te1 0.201 0.299 0.000

***

Record 7
# PuHf2N3 (PBE-GGA, relaxed)
# Volume ... 152 Å³/cell
# Crystal system ... orthorhombic
# Size of the total moment ... 0.8022 μB per atom
# Calculated total energy ... -11.477 eV per atom
data_PuHf2N3
_space_group_name_H-M_alt 'I m m m'
_space_group_IT_number 71
_space_group_name_Hall '-I 2 2'
_cell_length_a 3.283
_cell_length_b 4.638
_cell_length_c 9.988
_cell_angle_alpha 90.00
_cell_angle_beta 90.00
_cell_angle_gamma 90.00
loop_
_atom_site_label
_atom_site_fract_x
_atom_site_fract_y
_atom_site_fract_z
Pu1 0.000 0.000 0.000
Hf1 0.000 0.000 0.331
N1 0.000 0.500 0.000
N2 0.000 0.500 0.321

***

Record 8
# Cs3NpS3 (PBE-GGA, relaxed)
# Volume ... 1204 Å³/cell
# Crystal system ... monoclinic
# Size of the total moment ... 0.5714 μB per atom
# Calculated total energy ... -5.144 eV per atom
data_Cs3NpS3
_space_group_name_H-M_alt 'P 1 21/c 1'
_space_group_IT_number 14
_cell_length_a 9.898
_cell_length_b 8.774
_cell_length_c 13.928
_cell_angle_alpha 90.00
_cell_angle_beta 95.35
_cell_angle_gamma 90.00
loop_
_space_group_symop_operation_xyz
'x,y,z'
'-x,-y,-z'
'-x,y+1/2,-z+1/2'
'x,-y+1/2,z+1/2'
loop_
_atom_site_label
_atom_site_fract_x
_atom_site_fract_y
_atom_site_fract_z
Cs1 0.067 0.135 0.139
Cs2 0.349 0.712 0.800
Cs3 0.379 0.199 0.924
Np1 0.160 0.583 0.059
S1 0.096 0.051 0.388
S2 0.257 0.644 0.530
S3 0.330 0.075 0.672

***

Record 9
# Sc4Pt (PBE-GGA, relaxed)
# Volume ... 254 Å³/cell
# Crystal system ... cubic
# Size of the total moment ... 0.0009 μB per atom
# Energy relative to the elements ... -0.1335 eV per atom
data_Sc4Pt
_space_group_name_H-M_alt 'I m -3 m'
_space_group_IT_number 229
_space_group_name_Hall '-I 4 2 3'
_cell_length_a 6.332
_cell_length_b 6.332
_cell_length_c 6.332
_cell_angle_alpha 90.00
_cell_angle_beta 90.00
_cell_angle_gamma 90.00
loop_
_atom_site_label
_atom_site_fract_x
_atom_site_fract_y
_atom_site_fract_z
Sc1 0.250 0.250 0.250
Pt1 0.000 0.000 0.000

***

Record 10
# La3Tb2Pm6Nd (PBE-GGA, relaxed)
# Volume ... 835 Å³/cell
# Crystal system ... monoclinic
# Size of the total moment ... 0.0000 μB per atom
# Energy relative to the elements ... 0.0177 eV per atom
data_La3Tb2Pm6Nd
_space_group_name_H-M_alt 'C 1 2/m 1'
_space_group_IT_number 12
_cell_length_a 6.344
_cell_length_b 10.996
_cell_length_c 12.164
_cell_angle_alpha 90.00
_cell_angle_beta 100.09
_cell_angle_gamma 90.00
loop_
_space_group_symop_operation_xyz
'x,y,z'
'-x,-y,-z'
'-x,y,-z'
'x,-y,z'
'x+1/2,y+1/2,z'
'-x+1/2,-y+1/2,-z'
'-x+1/2,y+1/2,-z'
'x+1/2,-y+1/2,z'
loop_
_atom_site_label
_atom_site_fract_x
_atom_site_fract_y
_atom_site_fract_z
La1 0.000 0.000 0.000
La2 0.000 0.333 0.000
Tb1 0.000 0.167 0.500
Pm1 0.248 0.000 0.746
Pm2 0.249 0.333 0.746
Nd1 0.000 0.500 0.500

***

Record 11
# AcCd5Au2 (PBE-GGA, relaxed)
# Volume ... 391 Å³/cell
# Crystal system ... orthorhombic
# Size of the total moment ... 0.0000 μB per atom
# Energy relative to the elements ... -0.3608 eV per atom
data_AcCd5Au2
_space_group_name_H-M_alt 'I m m m'
_space_group_IT_number 71
_space_group_name_Hall '-I 2 2'
_cell_length_a 4.397
_cell_length_b 8.415
_cell_length_c 10.555
_cell_angle_alpha 90.00
_cell_angle_beta 90.00
_cell_angle_gamma 90.00
loop_
_atom_site_label
_atom_site_fract_x
_atom_site_fract_y
_atom_site_fract_z
Ac1 0.000 0.000 0.000
Cd1 0.000 0.184 0.353
Cd2 0.000 0.500 0.000
Au1 0.000 0.500 0.272

***

Record 12
# Ba2ThAu (PBE-GGA, relaxed)
# Volume ... 474 Å³/cell
# Crystal system ... trigonal
# Size of the total moment ... 0.0000 μB per atom
# Energy relative to the elements ... 0.1891 eV per atom
data_Ba2ThAu
_space_group_name_H-M_alt 'R -3 m'
_space_group_IT_number 166
_space_group_name_Hall '-R 3 2"'
_cell_length_a 3.8550
_cell_length_b 3.8550
_cell_length_c 36.8602
_cell_angle_alpha 90.00
_cell_angle_beta 90.00
_cell_angle_gamma 120.00
loop_
_atom_site_label
_atom_site_fract_x
_atom_site_fract_y
_atom_site_fract_z
Ba1 0.0000 0.0000 0.1026
Th1 0.0000 0.0000 0.0000
Au1 0.0000 0.0000 0.5000

***

Look up the size of the total moment of the eleventh one. 0.0000 μB per atom